# 1
A relaxed Rb3Ce2PrS6 crystal, computed with PBE.

The structure in POSCAR format:
```
Rb3Ce2PrS6
1.0
3.6826 -6.3785 0.0000
3.6826 6.3785 0.0000
-2.4552 0.0000 7.6912
Rb Ce Pr S
3 2 1 6
Direct
0.0000 0.0000 0.0000
0.3338 0.6662 0.0000
0.6662 0.3338 0.0000
0.1667 0.8333 0.5000
0.8333 0.1667 0.5000
0.5000 0.5000 0.5000
0.0989 0.4344 0.3033
0.2300 0.2300 0.6966
0.4344 0.0989 0.3033
0.5656 0.9011 0.6967
0.7700 0.7700 0.3034
0.9011 0.5656 0.6967
```

Values from the calculation:
Final energy in eV/atom: -5.47
Magnetization in Bohr magnetons per cell: 2.019

# 2
A relaxed Rb4CePr3S8 crystal, computed with PBE.

The structure in POSCAR format:
```
Rb4CePr3S8
1.0
4.2595 2.4592 7.7051
-4.2595 2.4592 7.7051
0.0000 -4.9184 7.7051
Rb Ce Pr S
4 1 3 8
Direct
0.0000 0.0000 0.0000
0.0000 0.5000 0.5000
0.5000 0.0000 0.5000
0.5000 0.5000 0.0000
0.5000 0.5000 0.5000
0.0000 0.0000 0.5000
0.0000 0.5000 0.0000
0.5000 0.0000 0.0000
0.2330 0.2330 0.2330
0.2342 0.7316 0.7316
0.2684 0.2684 0.7658
0.2684 0.7658 0.2684
0.7316 0.2342 0.7316
0.7316 0.7316 0.2342
0.7658 0.2684 0.2684
0.7670 0.7670 0.7670
```

Values from the calculation:
Final energy in eV/atom: -5.38
Magnetization in Bohr magnetons per cell: 1.006

# 3
A relaxed Rb2CePr2S6 crystal, computed with PBE.

The structure in POSCAR format:
```
Rb2CePr2S6
1.0
3.6395 -6.2654 0.0000
3.6395 6.2654 0.0000
-2.4423 0.0000 7.8314
Rb Ce Pr S
2 1 2 6
Direct
0.1690 0.8310 0.0000
0.8310 0.1690 0.0000
0.0000 0.0000 0.5000
0.3342 0.6658 0.5000
0.6658 0.3342 0.5000
0.0609 0.3847 0.6891
0.2533 0.2533 0.3111
0.3847 0.0609 0.6891
0.6153 0.9391 0.3109
0.7467 0.7467 0.6889
0.9391 0.6153 0.3109
```

Values from the calculation:
Final energy in eV/atom: -5.65
Magnetization in Bohr magnetons per cell: 0.000

Q: final energy of number 1 (Rb3Ce2PrS6)?
A: -5.47 eV/atom